# 1
Density functional theory data (PBE) for a relaxed Tb3ErTh2P6 crystal.

Values from the calculation:
density of states at the Fermi level: 0.32 states/eV per atom
total magnetic moment: 0.000 μB per atom
density: 7.56 g/cm3
calculated total energy: -0.520 Ry/atom
formation energy from the elements: -1.600 eV per atom
crystal system: monoclinic

a b c (Å): 9.0783 9.0783 8.1082
angles (deg): 102.87 102.87 25.90
Fractional positions:
Tb 0.0000 0.0000 0.0000
Tb 0.3339 0.3339 0.6658
Tb 0.6661 0.6661 0.3342
Er 0.0000 0.0000 0.5000
Th 0.3354 0.3354 0.1704
Th 0.6646 0.6646 0.8296
P 0.1654 0.1654 0.5782
P 0.1657 0.1657 0.0861
P 0.4984 0.4984 0.7465
P 0.5016 0.5016 0.2535
P 0.8343 0.8343 0.9139
P 0.8346 0.8346 0.4218

# 2
Density functional theory data (PBE) for a relaxed NaAl2TlBr8 crystal.

Values from the calculation:
ΔE_f (raw): -1.172 eV per atom
density of states at the Fermi level: 0.00 states/eV per atom
total magnetic moment: 0.000 μB per atom
density: 3.70 g/cm3
calculated total energy: -0.237 Ry/atom
crystal system: trigonal

a b c (Å): 10.7362 10.7362 10.7362
angles (deg): 37.57 37.57 37.57
Fractional positions:
Na 0.0000 0.0000 0.0000
Al 0.2475 0.2475 0.2475
Al 0.7525 0.7525 0.7525
Tl 0.5000 0.5000 0.5000
Br 0.0597 0.4202 0.7045
Br 0.1699 0.1699 0.1699
Br 0.2955 0.9403 0.5798
Br 0.4202 0.7045 0.0597
Br 0.5798 0.2955 0.9403
Br 0.7045 0.0597 0.4202
Br 0.8301 0.8301 0.8301
Br 0.9403 0.5798 0.2955

# 3
Density functional theory data (PBE) for a relaxed FeNi4Pt7 crystal.

Values from the calculation:
density of states at the Fermi level: 1.32 states/eV per atom
total magnetic moment: 0.724 μB per atom
density: 16.32 g/cm3
calculated total energy: -0.460 Ry/atom
formation energy from the elements: -0.106 eV per atom
crystal system: triclinic

a b c (Å): 4.7167 5.4049 7.1492
angles (deg): 77.93 71.28 89.21
Fractional positions:
Fe 0.0000 0.0000 0.0000
Ni 0.1692 0.4164 0.3360
Ni 0.3369 0.8339 0.6664
Ni 0.6631 0.1661 0.3336
Ni 0.8308 0.5836 0.6640
Pt 0.0000 0.5000 0.0000
Pt 0.1636 0.9182 0.3392
Pt 0.3243 0.3332 0.6645
Pt 0.4932 0.7509 0.9973
Pt 0.5068 0.2491 0.0027
Pt 0.6757 0.6668 0.3355
Pt 0.8364 0.0818 0.6608